No. 1
The following is a DFT calculation (GGA-PBE) of Pm2MnGe4Au3 after structural relaxation.

The total DFT energy (no corrections) is -51.93 eV for the cell shown. For the density of states at the Fermi level, the calculation gives 4.78 states/eV/f.u. The calculated formation energy is -0.50 eV per atom.

Cell and atoms, written as CIF:
```
data_Pm2MnGe4Au3
_space_group_name_H-M_alt 'P -4 m 2'
_space_group_IT_number 115
_cell_length_a 4.262
_cell_length_b 4.262
_cell_length_c 11.241
_cell_angle_alpha 90.00
_cell_angle_beta 90.00
_cell_angle_gamma 90.00
loop_
_space_group_symop_operation_xyz
'x,y,z'
'y,-x,-z'
'-x,-y,z'
'-y,x,-z'
'-x,y,z'
'-y,-x,-z'
'x,-y,z'
'y,x,-z'
loop_
_atom_site_label
_atom_site_fract_x
_atom_site_fract_y
_atom_site_fract_z
Pm1 0.000 0.500 0.239
Mn1 0.500 0.500 0.000
Ge1 0.000 0.000 0.500
Ge2 0.000 0.500 0.868
Ge3 0.500 0.500 0.500
Au1 0.000 0.000 0.000
Au2 0.000 0.500 0.644
```

No. 2
The following is a DFT calculation (GGA-PBE) of Pr2MnGe4Au3 after structural relaxation.

The total DFT energy (no corrections) is -52.16 eV for the cell shown. For the density of states at the Fermi level, the calculation gives 4.17 states/eV/f.u. The calculated formation energy is -0.51 eV per atom.

Cell and atoms, written as CIF:
```
data_Pr2MnGe4Au3
_space_group_name_H-M_alt 'P -4 m 2'
_space_group_IT_number 115
_cell_length_a 4.366
_cell_length_b 4.366
_cell_length_c 10.933
_cell_angle_alpha 90.00
_cell_angle_beta 90.00
_cell_angle_gamma 90.00
loop_
_space_group_symop_operation_xyz
'x,y,z'
'y,-x,-z'
'-x,-y,z'
'-y,x,-z'
'-x,y,z'
'-y,-x,-z'
'x,-y,z'
'y,x,-z'
loop_
_atom_site_label
_atom_site_fract_x
_atom_site_fract_y
_atom_site_fract_z
Pr1 0.000 0.500 0.245
Mn1 0.500 0.500 0.000
Ge1 0.000 0.000 0.500
Ge2 0.000 0.500 0.870
Ge3 0.500 0.500 0.500
Au1 0.000 0.000 0.000
Au2 0.000 0.500 0.638
```

> Which value of calculated formation energy does entry 2 give?

-0.51 eV per atom